(1)
3
Lattice="3.0608 0.0000 0.0000 0.0000 4.5018 0.0000 0.0000 -2.2509 3.8987" Properties=species:S:1:pos:R:3 comment="MgAlAg GGA-PBEsol optimized geometry" spacegroup=P-6m2 delta_e_f_ev_per_atom=-0.11 pbc="T T T"
Mg 1.5304 2.2509 1.2996
Al 0.0000 0.0000 2.5991
Ag 0.0000 0.0000 0.0000

(2)
4
Lattice="-2.5349 -3.3732 2.7119 2.4600 -3.6747 2.3673 0.3472 0.0326 5.0037" Properties=species:S:1:pos:R:3 comment="YSc2Ag GGA-PBEsol optimized geometry" relative_energy_ev_per_atom=0.2190 spacegroup=Fm-3m delta_e_f_ev_per_atom=0.09 pbc="T T T"
Ag 0.0000 0.0000 0.0000
Sc 0.0681 -1.7538 2.5207
Sc 0.2042 -5.2614 7.5622
Y 0.1361 -3.5076 5.0415

(3)
5
Lattice="-4.5159 -0.1303 1.0294 0.5557 -4.1859 1.9077 0.8763 1.9827 4.0952" Properties=species:S:1:pos:R:3 comment="Cu3WSe GGA-PBEsol optimized geometry" spacegroup=Pm-3m pbc="T T T"
Cu 0.2778 -2.0930 0.9539
Cu 0.4382 0.9914 2.0476
Cu -2.2579 -0.0651 0.5147
Se -1.5419 -1.1667 3.5162
W 0.0000 0.0000 0.0000

(4)
4
Lattice="-3.2121 1.1400 -0.5968 -1.2571 -3.1228 0.8010 -0.3055 1.0681 3.6846" Properties=species:S:1:pos:R:3 comment="BeCr2Mo GGA-PBEsol optimized geometry" spacegroup=P4/mmm delta_e_f_ev_per_atom=0.17 pbc="T T T"
Cr -0.6286 -1.5614 0.4005
Cr -1.6061 0.5700 -0.2984
Mo -2.3874 -0.4573 1.9444
Be -0.1528 0.5340 1.8423

(5)
4
Lattice="-2.6397 0.9780 0.5881 0.3950 -0.6075 2.7831 2.7562 6.7840 1.0896" Properties=species:S:1:pos:R:3 comment="AlAsPt2 GGA-PBEsol optimized geometry" spacegroup=P4/mmm delta_e_f_ev_per_atom=-0.52 pbc="T T T"
As 0.2557 3.5773 2.2304
Al -1.1224 0.1853 1.6856
Pt 2.1570 5.3090 0.8527
Pt 0.5993 1.4750 0.2369

(6)
10
Lattice="3.9665 0.0000 0.0000 0.0000 7.2695 0.0000 0.0000 0.0000 7.2695" Properties=species:S:1:pos:R:3 comment="LiIn2Ga2 GGA-PBEsol optimized geometry" spacegroup=P4/mbm delta_e_f_ev_per_atom=-0.07 pbc="T T T"
Li 0.0000 0.0000 0.0000
Li 0.0000 3.6348 3.6348
Ga 0.0000 2.7211 6.3559
Ga 0.0000 6.3559 4.5484
Ga 0.0000 4.5484 0.9136
Ga 0.0000 0.9136 2.7211
In 1.9832 1.3047 4.9395
In 1.9832 4.9395 5.9648
In 1.9832 5.9648 2.3301
In 1.9832 2.3301 1.3047

| no. | electronic total energy (eV/atom) |
| --- | --- |
| 1 | -3.146 |
| 2 | -5.742 |
| 3 | -4.372 |
| 4 | -8.896 |
| 5 | -6.301 |
| 6 | -2.993 |